The following is a DFT calculation (GGA-PBE) of crystalline BaTcSe2N at its relaxed geometry.

Calculated values
Formation energy from raw total energies in meV per atom: 1641.5
Energy above the lowest structure with this stoichiometry in meV/atom: 2218

abc: 5.948 5.948 4.330
angles: 90.00 90.00 90.00
Fractional positions:
1 Ba 0.000 0.000 0.000
2 Tc 0.500 0.500 0.500
3 Se 0.000 0.500 0.000
4 Se 0.500 0.000 0.000
5 N 0.000 0.000 0.500

The following is a DFT calculation (GGA-PBE) of crystalline LaBiB3 at its relaxed geometry.

Calculated values
Energy of formation from the pure elements in meV/atom: 1607.9
Energy above the lowest structure with this stoichiometry in meV/atom: 0

abc: 4.683 4.683 4.683
angles: 90.00 90.00 90.00
Fractional positions:
1 La 0.000 0.000 0.000
2 Bi 0.500 0.500 0.500
3 B 0.000 0.500 0.500
4 B 0.500 0.000 0.500
5 B 0.500 0.500 0.000

The following is a DFT calculation (GGA-PBE) of crystalline TbAlAu at its relaxed geometry.

Calculated values
Energy of formation from the pure elements in meV/atom: -793.5

abc: 7.255 4.504 7.775
angles: 90.00 90.00 90.00
Fractional positions:
1 Tb 0.008 0.250 0.198
2 Tb 0.492 0.750 0.698
3 Tb 0.508 0.250 0.302
4 Tb 0.992 0.750 0.802
5 Al 0.176 0.250 0.579
6 Al 0.324 0.750 0.079
7 Al 0.676 0.250 0.921
8 Al 0.824 0.750 0.421
9 Au 0.210 0.750 0.406
10 Au 0.290 0.250 0.906
11 Au 0.710 0.750 0.094
12 Au 0.790 0.250 0.594

The following is a DFT calculation (GGA-PBE) of crystalline PmGdMgNi at its relaxed geometry.

Calculated values
Energy of formation from the pure elements in meV/atom: -74.2

abc: 5.144 5.144 5.144
angles: 60.00 60.00 60.00
Fractional positions:
1 Pm 0.000 0.000 0.000
2 Gd 0.500 0.500 0.500
3 Mg 0.250 0.250 0.250
4 Ni 0.750 0.750 0.750

Number 1: energy -3.88 eV/atom, density of states at the Fermi level 7.593 states/eV per cell, size of the total moment 4.69 μB/f.u.. Number 2: energy -4.16 eV/atom, density of states at the Fermi level 3.141 states/eV per cell, size of the total moment 0.00 μB/f.u.. Number 3: energy -4.68 eV/atom, density of states at the Fermi level 6.588 states/eV per cell, size of the total moment 0.00 μB/f.u.. Number 4: energy -6.63 eV/atom, density of states at the Fermi level 3.732 states/eV per cell, size of the total moment 7.16 μB/f.u..